# 1
## NaSn3Pt (PBE)

Data for a relaxed structure of NaSn3Pt.

ΔE_f = 0.019 eV per atom
excess energy over the best structure of this formula in the dataset = 32.9 kJ/mol of atoms
magnetic moment = 0.00 μB per formula unit

The structure in POSCAR format:
```
NaSn3Pt
1.0
5.328 0.000 0.000
0.000 5.328 0.000
0.000 0.000 5.328
Sn Pt Na
3 1 1
Cartesian
2.664 0.000 0.000 Sn
0.000 0.000 2.664 Sn
0.000 2.664 0.000 Sn
0.000 0.000 0.000 Pt
2.664 2.664 2.664 Na
```


# 2
## LiCa2LaIr (PBE)

Data for a relaxed structure of LiCa2LaIr.

ΔE_f = -0.253 eV per atom
magnetic moment = 0.00 μB per formula unit

The structure in POSCAR format:
```
LiCa2LaIr
1.0
5.675 0.000 0.000
0.000 5.675 0.000
0.000 0.000 5.467
La Ir Ca Li
1 1 2 1
Cartesian
0.000 0.000 2.733 La
0.000 0.000 0.000 Ir
2.837 0.000 0.000 Ca
0.000 2.837 0.000 Ca
2.837 2.837 2.733 Li
```


# 3
## CoRuW2 (PBE)

Data for a relaxed structure of CoRuW2.

ΔE_f = 0.207 eV per atom
excess energy over the best structure of this formula in the dataset = 16.1 kJ/mol of atoms
magnetic moment = 0.06 μB per formula unit

The structure in POSCAR format:
```
CoRuW2
1.0
4.691 0.005 -0.011
3.882 2.635 -0.011
0.794 0.245 4.655
W Co Ru
2 1 1
Cartesian
4.724 1.454 2.281 W
8.533 2.627 0.013 W
2.342 0.721 1.158 Co
7.026 2.163 3.475 Ru
```


# 4
## Sm3Ho3Mg (PBE)

Data for a relaxed structure of Sm3Ho3Mg.

ΔE_f = 0.014 eV per atom
excess energy over the best structure of this formula in the dataset = 0.0 kJ/mol of atoms
magnetic moment = 0.34 μB per formula unit

The structure in POSCAR format:
```
Sm3Ho3Mg
1.0
5.620 0.000 0.000
0.000 9.501 -0.016
0.000 -4.736 8.235
Ho Sm Mg
6 6 2
Cartesian
4.215 3.385 6.716 Ho
1.405 1.380 1.502 Ho
1.405 5.375 6.272 Ho
1.405 7.510 0.428 Ho
4.215 -0.611 1.947 Ho
4.215 -2.746 7.790 Ho
4.215 5.491 0.828 Sm
4.215 2.738 3.049 Sm
1.405 -1.273 3.895 Sm
1.405 2.027 5.169 Sm
4.215 6.038 4.323 Sm
1.405 -0.726 7.390 Sm
4.215 0.009 5.484 Mg
1.405 4.756 2.734 Mg
```


# 5
## GePdF2 (PBE)

Data for a relaxed structure of GePdF2.

formation energy without anion corrections = -1.06 eV/atom
excess energy over the best structure of this formula in the dataset = 0.0 kJ/mol of atoms
magnetic moment = 0.00 μB per formula unit

The structure in POSCAR format:
```
GePdF2
1.0
-0.683 2.429 -2.831
-3.435 -1.532 -0.486
-5.002 5.458 3.350
Ge F Pd
2 4 2
Cartesian
-5.248 2.187 0.603 Ge
-2.059 0.449 -1.659 Ge
-3.492 0.741 0.144 F
-7.312 4.898 -0.384 F
-5.339 4.411 1.262 F
-2.098 2.661 -0.957 F
0.000 0.000 0.000 Pd
-3.872 4.168 -0.570 Pd
```


# 6
## TlIn3Pb3 (PBE)

Data for a relaxed structure of TlIn3Pb3.

ΔE_f = 0.319 eV per atom
excess energy over the best structure of this formula in the dataset = 28.7 kJ/mol of atoms
magnetic moment = 0.00 μB per formula unit

The structure in POSCAR format:
```
TlIn3Pb3
1.0
8.354 0.000 0.000
0.000 8.354 0.000
0.000 0.000 8.354
Pb In Tl
6 6 2
Cartesian
6.265 4.177 0.000 Pb
0.000 2.088 4.177 Pb
4.177 0.000 2.088 Pb
4.177 0.000 6.265 Pb
0.000 6.265 4.177 Pb
2.088 4.177 0.000 Pb
2.088 0.000 4.177 In
4.177 2.088 0.000 In
6.265 0.000 4.177 In
4.177 6.265 0.000 In
0.000 4.177 2.088 In
0.000 4.177 6.265 In
0.000 0.000 0.000 Tl
4.177 4.177 4.177 Tl
```


| no. | Fermi-level density of states (states/eV per cell) |
| --- | --- |
| 1 | 3.696 |
| 2 | 3.498 |
| 3 | 3.505 |
| 4 | 22.442 |
| 5 | 0.004 |
| 6 | 11.503 |